A plane-wave DFT calculation with GGA-PBE was carried out for crystalline TaIn at its relaxed geometry.

extended XYZ file:
```
32
Lattice="2.9605 0.0000 0.0000 0.0000 19.1731 0.0000 0.0000 0.0000 11.2528" Properties=species:S:1:pos:R:3 pbc="T T T"
Ta 0.0000 16.8815 0.0000
Ta 0.0000 2.2916 0.0000
Ta 0.7401 16.6714 2.8132
Ta 0.7401 12.0882 2.8132
Ta 0.0000 7.2949 5.6264
Ta 0.0000 11.8781 5.6264
Ta 0.7401 7.0849 8.4396
Ta 0.7401 2.5017 8.4396
Ta 1.4803 16.8815 5.6264
Ta 1.4803 2.2916 5.6264
Ta 2.2204 16.6714 8.4396
Ta 2.2204 12.0882 8.4396
Ta 1.4803 7.2949 0.0000
Ta 1.4803 11.8781 0.0000
Ta 2.2204 7.0849 2.8132
Ta 2.2204 2.5017 2.8132
In 0.0000 0.0000 4.1700
In 0.0000 0.0000 7.0828
In 0.7401 14.3798 9.8960
In 0.7401 14.3798 6.9832
In 0.0000 9.5865 9.7964
In 0.0000 9.5865 1.4564
In 0.7401 4.7933 4.2696
In 0.7401 4.7933 1.3568
In 1.4803 0.0000 9.7964
In 1.4803 0.0000 1.4564
In 2.2204 14.3798 4.2696
In 2.2204 14.3798 1.3568
In 1.4803 9.5865 4.1700
In 1.4803 9.5865 7.0828
In 2.2204 4.7933 9.8960
In 2.2204 4.7933 6.9832
```

Computed properties:
The volume comes out at 19.96 Å³/atom. The formation energy from the elements is 0.2993 eV per atom.